Density functional theory data (GGA+U) for an optimized crystal structure of LiMnBO3.

Lattice parameters (Å, degrees): 5.192 5.249 6.024 90.69 113.04 119.15
Element x y z (fractional)
Li  0.058  0.126  0.324
Li  0.942  0.874  0.676
Mn  0.341  0.749  0.239
Mn  0.659  0.251  0.761
B  0.308  0.576  0.737
B  0.692  0.424  0.263
O  0.127  0.636  0.828
O  0.252  0.290  0.700
O  0.466  0.195  0.325
O  0.534  0.805  0.675
O  0.748  0.710  0.300
O  0.873  0.364  0.172

Values from the calculation:
- Offset from the most stable computed form: 0.03 eV/f.u.
- Spin magnetization: 5.00 μB per formula unit
- VASP energy: -7.316 eV/atom
- Volume: 10.64 Å³ per atom
- Density of states at the Fermi level: 0.0 states/eV/cell